# Nd2GdCo2B2O3 PBE+U relaxed
data_Nd2GdCo2B2O3
_space_group_name_H-M_alt 'P 1'
_space_group_IT_number 1
_cell_length_a 11.2521
_cell_length_b 11.2521
_cell_length_c 11.2521
_cell_angle_alpha 162.22
_cell_angle_beta 162.22
_cell_angle_gamma 25.24
loop_
_space_group_symop_operation_xyz
'x,y,z'
loop_
_atom_site_label
_atom_site_type_symbol
_atom_site_fract_x
_atom_site_fract_y
_atom_site_fract_z
Nd1 Nd 0.1353 0.1353 0.0000
Nd2 Nd 0.8647 0.8647 0.0000
Gd1 Gd 0.5000 0.5000 0.0000
Co1 Co 0.2500 0.7500 0.5000
Co2 Co 0.7500 0.2500 0.5000
B1 B 0.2867 0.2867 0.0000
B2 B 0.7133 0.7133 0.0000
O1 O 0.0000 0.0000 0.0000
O2 O 0.3985 0.3985 0.0000
O3 O 0.6015 0.6015 0.0000
# SG: No. 139
# Total moment (μB/f.u.): 0.01
# Total DFT energy (no corrections) (eV per atom): -6.883